Below is an optimized crystal structure of Ca2ScTc, with properties calculated at the GGA-PBE level.

abc: 10.9792 10.9792 10.9792
angles: 17.34 17.34 17.34
Each line ends with the local moment (μB).
Sites, in units of the cell vectors:
Ca1 0.4872 0.4872 0.4872  0.01
Sc1 0.2500 0.2500 0.2500  0.42
Ca2 0.0128 0.0128 0.0128  0.01
Tc1 0.7500 0.7500 0.7500  1.05

Values from the calculation:
SG ... R-3m
Energy relative to the elements ... 0.61 eV/atom
Crystal system ... trigonal
Magnetization ... 1.90 Bohr magnetons per cell
Energy ... -4.570 eV/atom
Calculated density ... 3.61 Mg/m³
Energy relative to the lowest polymorph listed for this composition ... 0.479 eV per atom